{
  "formula": "PrDy2Si",
  "functional": "PBE-GGA",
  "state": "relaxed",
  "polymorph_energy_ev_per_atom": 0.000,
  "raw_formation_energy_ev_per_atom": -0.184,
  "energy_ev_per_atom": -5.036,
  "sg": "No. 160",
  "lattice_angstrom": [[3.782, 0.000, 0.000], [1.891, 3.275, 0.000], [1.891, 1.092, 9.734]],
  "species": ["Pr", "Dy", "Dy", "Si"],
  "frac_coords": [[0.501, 0.501, 0.497], [0.062, 0.062, 0.814], [0.271, 0.271, 0.187], [0.666, 0.666, 0.002]]
}

{
  "formula": "LiPa2O5",
  "functional": "PBE-GGA",
  "state": "relaxed",
  "raw_formation_energy_ev_per_atom": -3.258,
  "energy_ev_per_atom": -8.970,
  "sg": "No. 15",
  "lattice_angstrom": [[4.930, 0.000, -2.109], [-0.216, 5.821, -0.506], [-0.021, 0.000, 6.766]],
  "species": ["Li", "Li", "Pa", "Pa", "Pa", "Pa", "O", "O", "O", "O", "O", "O", "O", "O", "O", "O"],
  "frac_coords": [[0.000, 0.000, 0.500], [0.500, 0.500, 0.500], [0.129, 0.438, 0.786], [0.656, 0.938, 0.786], [0.871, 0.562, 0.214], [0.344, 0.062, 0.214], [0.525, 0.588, 0.823], [0.060, 0.750, 0.000], [0.940, 0.250, 0.000], [0.853, 0.672, 0.560], [0.147, 0.328, 0.440], [0.707, 0.172, 0.560], [0.293, 0.828, 0.440], [0.475, 0.412, 0.177], [0.298, 0.088, 0.823], [0.702, 0.912, 0.177]]
}

{
  "formula": "BaZr3",
  "functional": "PBE-GGA",
  "state": "relaxed",
  "formation_enthalpy_0k_mev_per_atom": 633,
  "polymorph_energy_ev_per_atom": 0.317,
  "energy_ev_per_atom": -6.259,
  "sg": "No. 166",
  "lattice_angstrom": [[6.407, 0.002, 0.009], [-2.955, 5.684, 0.009], [-2.955, -4.868, 2.935]],
  "species": ["Ba", "Zr", "Zr", "Zr"],
  "frac_coords": [[0.000, 0.000, 0.000], [0.000, 0.500, 0.500], [0.500, 0.000, 0.500], [0.500, 0.500, 0.000]]
}

Fermi-level density of states for every record listed, in sequence, given in states/eV per cell: 5.39; 8.88; 8.07.